Tl2FePbO6: relaxed, PBE with a Hubbard U.

a = 5.7054 Å, b = 5.7055 Å, c = 5.9820 Å
α = 61.50°, β = 61.50°, γ = 60.01°
Each line ends with the local moment (μB).
Atoms (fractional coordinates):
Fe  0.8151  0.8152  0.5547  4.25
Tl  0.0346  0.0347  0.8961  0.01
Tl  0.5279  0.5279  0.4162  0.01
Pb  0.3076  0.3076  0.0773  -0.11
O  0.1809  0.9172  0.2743  -0.01
O  0.0833  0.4570  0.7493  0.03
O  0.6276  0.1808  0.2743  -0.01
O  0.9172  0.6276  0.2743  -0.01
O  0.7104  0.0833  0.7494  0.03
O  0.4569  0.7104  0.7493  0.03

Values from the calculation:
DFT total energy: -52.68 eV per cell
DOS(E_F): 0.2165 states/eV/atom
Volume: 140.7 Å³ per cell